# 1
The following is a PBE calculation of a geometry-optimized Ta2Sn2O7 structure, from the Open Quantum Materials Database.

Summary:
final energy = -90.728 eV/f.u.

Cell and atoms, written as extended XYZ:
```
22
Lattice="6.659 3.433 0.308 -6.210 3.674 2.039 2.659 -5.541 4.296" Properties=species:S:1:pos:R:3 pbc="T T T"
Sn 5.935 0.460 3.464
Sn -0.499 0.580 4.329
Sn 2.606 -1.257 3.310
Sn -1.828 3.350 2.181
Ta 1.501 5.067 2.335
Ta 1.277 1.513 1.162
Ta 4.606 3.230 1.316
Ta 2.830 2.297 4.483
O 0.553 -1.460 4.318
O 4.315 2.628 3.194
O 3.694 0.576 5.001
O 3.310 4.724 1.570
O 7.556 -1.709 3.733
O 4.659 -1.054 2.302
O 1.797 1.330 3.078
O 1.967 4.018 3.965
O 3.140 2.036 0.683
O -0.587 0.991 1.641
O 0.792 3.425 1.454
O 3.415 -3.844 3.542
O 1.762 -0.398 0.870
O 5.902 1.737 1.062
```


# 2
The following is a PBE calculation of a geometry-optimized TaSnO3 structure, from the Open Quantum Materials Database.

Summary:
final energy = -40.454 eV/f.u.

Cell and atoms, written as extended XYZ:
```
5
Lattice="-1.001 -3.939 -0.211 0.739 0.027 -4.002 3.852 -1.017 0.704" Properties=species:S:1:pos:R:3 pbc="T T T"
O 1.854 -2.591 0.325
O 2.723 -0.608 -1.571
O 0.228 -2.051 -2.041
Ta 2.122 -2.551 -1.695
Sn 3.850 -1.016 0.704
```


# 3
The following is a PBE calculation of a geometry-optimized TaSnO3 structure, from the Open Quantum Materials Database.

Summary:
final energy = -40.439 eV/f.u.

Cell and atoms, written as extended XYZ:
```
20
Lattice="5.606 0.000 0.000 0.000 5.836 0.000 0.000 0.000 8.095" Properties=species:S:1:pos:R:3 pbc="T T T"
Ta 0.000 2.918 0.000
Ta 2.803 0.000 0.000
Ta 0.000 2.918 4.048
Ta 2.803 0.000 4.048
O 1.491 4.294 4.062
O 4.293 4.460 0.015
O 4.115 1.542 0.015
O 0.046 2.874 2.024
O 1.312 1.376 4.062
O 1.312 1.376 8.081
O 5.559 2.962 6.071
O 2.757 5.792 2.024
O 2.849 0.044 6.071
O 4.293 4.460 4.033
O 1.491 4.294 8.081
O 4.115 1.542 4.033
Sn 0.028 0.144 2.024
Sn 5.577 5.691 6.071
Sn 2.831 2.773 6.071
Sn 2.775 3.062 2.024
```


# 4
The following is a PBE calculation of a geometry-optimized Tb2Sn2O5 structure, from the Open Quantum Materials Database.

Summary:
final energy = -61.422 eV/f.u.

Cell and atoms, written as extended XYZ:
```
9
Lattice="-4.313 -4.909 -6.967 2.200 -2.958 0.722 -2.529 -1.278 2.466" Properties=species:S:1:pos:R:3 pbc="T T T"
Tb -3.378 -5.775 -3.596
Tb -1.265 -3.370 -0.183
O 0.528 -2.130 -0.563
O -2.641 -5.737 -5.682
O -5.006 -4.897 -4.810
O -1.836 -1.290 0.309
O -2.321 -4.573 -1.889
Sn -2.157 -2.455 -3.484
Sn 0.000 0.000 0.000
```


# 5
The following is a PBE calculation of a geometry-optimized Tb2Sn2O5 structure, from the Open Quantum Materials Database.

Summary:
final energy = -57.785 eV/f.u.

Cell and atoms, written as extended XYZ:
```
9
Lattice="-1.128 -5.471 4.106 4.216 -0.612 0.342 0.092 2.553 3.427" Properties=species:S:1:pos:R:3 pbc="T T T"
Tb -0.564 -2.736 2.053
Tb 0.000 0.000 0.000
O 1.248 -4.477 3.301
O -0.814 -2.894 4.843
O -0.222 -0.025 2.690
O 1.840 -1.607 1.147
O 1.590 -1.766 3.938
Sn 1.261 -3.364 5.137
Sn 1.920 -0.168 2.738
```


# 6
The following is a PBE calculation of a geometry-optimized Tc2Sn2O5 structure, from the Open Quantum Materials Database.

Summary:
final energy = -61.192 eV/f.u.

Cell and atoms, written as extended XYZ:
```
9
Lattice="-4.856 -5.649 2.286 2.490 -2.685 -1.347 1.764 -0.109 3.479" Properties=species:S:1:pos:R:3 pbc="T T T"
Tc -1.645 -5.786 2.842
Tc 1.044 -2.657 1.576
O -2.849 -4.395 3.496
O -0.301 -4.222 2.209
O -0.243 -1.363 2.269
O -2.486 -5.683 1.083
O 0.120 -2.651 -0.144
Sn 0.000 0.000 0.000
Sn -2.428 -2.825 1.143
```


# 7
The following is a PBE calculation of a geometry-optimized Tc2Sn2O5 structure, from the Open Quantum Materials Database.

Summary:
final energy = -55.840 eV/f.u.

Cell and atoms, written as extended XYZ:
```
9
Lattice="6.957 0.000 0.000 0.000 4.171 0.000 0.000 0.000 4.171" Properties=species:S:1:pos:R:3 pbc="T T T"
O 3.478 2.086 2.086
O 5.346 0.000 2.086
O 1.611 2.086 0.000
O 5.346 2.086 0.000
O 1.611 0.000 2.086
Tc 3.478 0.000 0.000
Tc 0.000 0.000 0.000
Sn 5.490 2.086 2.086
Sn 1.467 2.086 2.086
```


# 8
The following is a PBE calculation of a geometry-optimized Tc2SnO4 structure, from the Open Quantum Materials Database.

Summary:
final energy = -50.761 eV/f.u.

Cell and atoms, written as extended XYZ:
```
14
Lattice="-4.775 -1.296 4.079 -1.317 1.705 -6.039 2.599 -5.734 1.218" Properties=species:S:1:pos:R:3 pbc="T T T"
O 0.056 -2.170 -0.626
O -1.428 -4.432 -0.940
O 1.159 -4.606 -0.108
O -0.881 -1.150 -3.537
O 0.600 -3.881 -2.673
O -1.047 -5.117 2.187
O -2.150 -2.681 1.669
O -2.909 -1.702 -1.805
Sn -3.590 -1.553 0.344
Sn 0.000 0.000 0.000
Tc -0.496 -3.643 0.781
Tc -1.154 -2.791 -2.239
Tc -2.883 -4.291 2.820
Tc -2.454 0.076 -2.848
```


# 9
The following is a PBE calculation of a geometry-optimized ZnSnTeO structure, from the Open Quantum Materials Database.

Summary:
final energy = -16.152 eV/f.u.

Cell and atoms, written as extended XYZ:
```
8
Lattice="4.060 0.000 0.000 -2.030 3.516 0.000 0.000 0.000 12.396" Properties=species:S:1:pos:R:3 pbc="T T T"
Sn 2.030 1.172 9.673
Sn 0.000 2.344 3.475
O 0.000 0.000 10.323
O 0.000 0.000 4.125
Zn 0.000 0.000 12.269
Zn 0.000 0.000 6.070
Te 2.030 1.172 1.053
Te 0.000 2.344 7.251
```


# 10
The following is a PBE calculation of a geometry-optimized ZnSnTeO structure, from the Open Quantum Materials Database.

Summary:
final energy = -16.323 eV/f.u.

Cell and atoms, written as extended XYZ:
```
16
Lattice="7.873 0.000 0.000 0.000 7.462 0.000 0.000 0.000 6.476" Properties=species:S:1:pos:R:3 pbc="T T T"
Te 3.232 4.702 4.154
Te 7.169 2.759 4.154
Te 4.641 2.759 0.916
Te 0.704 4.702 0.916
O 0.186 6.747 4.143
O 7.687 0.715 0.905
O 4.123 0.715 4.143
O 3.750 6.747 0.905
Sn 6.870 6.766 5.971
Sn 1.003 0.696 2.733
Sn 2.933 0.696 5.971
Sn 4.940 6.766 2.733
Zn 4.568 2.524 3.541
Zn 0.632 4.937 3.541
Zn 7.241 2.524 0.303
Zn 3.305 4.937 0.303
```


# 11
The following is a PBE calculation of a geometry-optimized ZnSnTeO structure, from the Open Quantum Materials Database.

Summary:
final energy = -15.744 eV/f.u.

Cell and atoms, written as extended XYZ:
```
16
Lattice="-2.660 -2.140 -5.961 0.984 -3.002 0.639 -13.935 -3.016 7.301" Properties=species:S:1:pos:R:3 pbc="T T T"
Zn -14.719 -5.239 2.124
Zn -0.892 -2.919 -0.146
Zn -6.999 -5.023 -0.624
Zn -8.613 -3.135 2.602
Te -5.936 -4.179 1.706
Te -13.084 -3.935 5.736
Te -2.528 -4.223 -3.757
Te -9.676 -3.979 0.273
O -13.231 -6.353 2.727
O -7.078 -3.604 -1.965
O -8.534 -4.554 3.944
O -2.381 -1.805 -0.749
Sn -4.208 -2.548 -1.426
Sn -3.773 -1.672 2.023
Sn -11.404 -5.610 3.405
Sn -11.838 -6.486 -0.045
```


# 12
The following is a PBE calculation of a geometry-optimized ZnSnTeO structure, from the Open Quantum Materials Database.

Summary:
final energy = -16.275 eV/f.u.

Cell and atoms, written as extended XYZ:
```
16
Lattice="6.294 0.000 0.000 0.000 4.078 0.000 0.000 0.000 13.990" Properties=species:S:1:pos:R:3 pbc="T T T"
Te 4.738 3.058 1.316
Te 1.591 3.058 5.679
Te 1.556 1.019 12.674
Te 4.703 1.019 8.311
Zn 3.851 1.019 2.823
Zn 5.591 3.058 9.818
Zn 2.444 3.058 11.167
Zn 0.704 1.019 4.172
O 1.848 1.019 2.563
O 4.995 1.019 4.432
O 4.446 3.058 11.427
O 1.299 3.058 9.558
Sn 1.613 3.058 1.330
Sn 4.682 1.019 12.660
Sn 4.760 3.058 5.665
Sn 1.534 1.019 8.325
```